(1)
# PBE-GGA Sc2Hg2Bi, optimized geometry
# Energy relative to the elements in eV/atom: -0.30
# VASP energy in eV/atom: -3.73
# Energy relative to the lowest polymorph listed for this composition in meV/atom: 65.9
# Mass density in g/cm³: 9.6
# Symmetry: P4/mbm (127)
data_Sc2Hg2Bi
_chemical_formula_sum 'Sc4 Hg4 Bi2'
_space_group_name_H-M_alt 'P 1'
_space_group_IT_number 1
_cell_length_a 8.2838
_cell_length_b 8.2838
_cell_length_c 3.5325
_cell_angle_alpha 90.00
_cell_angle_beta 90.00
_cell_angle_gamma 90.00
loop_
_space_group_symop_operation_xyz
'x,y,z'
loop_
_atom_site_label
_atom_site_type_symbol
_atom_site_fract_x
_atom_site_fract_y
_atom_site_fract_z
_atom_site_occupancy
Sc1 Sc 0.1671 0.3329 0.0000 1
Sc2 Sc 0.3329 0.8329 0.0000 1
Sc3 Sc 0.6671 0.1671 0.0000 1
Sc4 Sc 0.8329 0.6671 0.0000 1
Hg1 Hg 0.1296 0.6296 0.5000 1
Hg2 Hg 0.3704 0.1296 0.5000 1
Hg3 Hg 0.6296 0.8704 0.5000 1
Hg4 Hg 0.8704 0.3704 0.5000 1
Bi1 Bi 0.0000 0.0000 0.5000 1
Bi2 Bi 0.5000 0.5000 0.5000 1

(2)
# PBE-GGA CaAl3Ru, optimized geometry
# Energy relative to the elements in eV/atom: -0.33
# VASP energy in eV/atom: -4.83
# Energy relative to the lowest polymorph listed for this composition in meV/atom: 0.0
# Mass density in g/cm³: 3.5
# Symmetry: Pm-3m (221)
data_CaAl3Ru
_chemical_formula_sum 'Ca1 Al3 Ru1'
_space_group_name_H-M_alt 'P 1'
_space_group_IT_number 1
_cell_length_a 4.7329
_cell_length_b 4.7329
_cell_length_c 4.7329
_cell_angle_alpha 90.00
_cell_angle_beta 90.00
_cell_angle_gamma 90.00
loop_
_space_group_symop_operation_xyz
'x,y,z'
loop_
_atom_site_label
_atom_site_type_symbol
_atom_site_fract_x
_atom_site_fract_y
_atom_site_fract_z
_atom_site_occupancy
Ca1 Ca 0.0000 0.0000 0.0000 1
Al1 Al 0.0000 0.5000 0.5000 1
Al2 Al 0.5000 0.0000 0.5000 1
Al3 Al 0.5000 0.5000 0.0000 1
Ru1 Ru 0.5000 0.5000 0.5000 1

(3)
# PBE-GGA LiMg2CdH, optimized geometry
# VASP energy in eV/atom: -2.01
# Mass density in g/cm³: 3.5
# Symmetry: P4/mmm (123)
data_LiMg2CdH
_chemical_formula_sum 'Li1 Mg2 Cd1 H1'
_space_group_name_H-M_alt 'P 1'
_space_group_IT_number 1
_cell_length_a 4.8405
_cell_length_b 4.8405
_cell_length_c 3.4396
_cell_angle_alpha 90.00
_cell_angle_beta 90.00
_cell_angle_gamma 90.00
loop_
_space_group_symop_operation_xyz
'x,y,z'
loop_
_atom_site_label
_atom_site_type_symbol
_atom_site_fract_x
_atom_site_fract_y
_atom_site_fract_z
_atom_site_occupancy
Li1 Li 0.0000 0.0000 0.0000 1
Mg1 Mg 0.0000 0.5000 0.5000 1
Mg2 Mg 0.5000 0.0000 0.5000 1
Cd1 Cd 0.5000 0.5000 0.0000 1
H1 H 0.0000 0.0000 0.5000 1